4
Lattice="0.000 3.938 3.938 3.938 0.000 3.938 3.938 3.938 0.000" Properties=species:S:1:pos:R:3 comment="NdSmHoPb, relaxed, DFT GGA-PBE" total_magnetization_mub_per_fu=0.03 volume_a3_per_cell=122 space_group="F-43m (216)" e_form_mev_per_atom=-141.1 pbc="T T T"
Nd 0.000 0.000 0.000
Sm 3.938 3.938 3.938
Ho 5.907 5.907 5.907
Pb 1.969 1.969 1.969

4
Lattice="2.785 0.000 0.000 0.000 4.738 0.000 0.000 0.000 4.757" Properties=species:S:1:pos:R:3 comment="PtRh2Cl, relaxed, DFT GGA-PBE" total_magnetization_mub_per_fu=0.00 volume_a3_per_cell=63 raw_formation_energy_mev_per_atom=237 polymorph_energy_mev_per_atom=28.1 space_group="Pmm2 (25)" pbc="T T T"
Pt 0.000 0.000 0.000
Rh 1.393 0.000 2.370
Rh 1.393 2.369 0.129
Cl 1.393 2.369 2.518

7
Lattice="5.698 -1.835 0.000 5.698 1.835 0.000 -3.746 0.000 7.572" Properties=species:S:1:pos:R:3 comment="Ho2Sc3Rh2, relaxed, DFT GGA-PBE" total_magnetization_mub_per_fu=0.00 volume_a3_per_cell=158 polymorph_energy_mev_per_atom=0.0 space_group="C2/m (12)" e_form_mev_per_atom=-600.5 pbc="T T T"
Ho 0.651 0.000 2.287
Ho 6.997 0.000 5.285
Sc 4.088 0.000 0.502
Sc 3.824 0.000 3.786
Sc 3.561 0.000 7.070
Rh -0.848 0.000 5.571
Rh 8.497 0.000 2.001

6
Lattice="5.420 0.000 0.000 -2.710 4.694 0.000 0.000 0.000 3.468" Properties=species:S:1:pos:R:3 comment="YBe2Ir3, relaxed, DFT GGA-PBE" total_magnetization_mub_per_fu=0.00 volume_a3_per_cell=88 space_group="P6/mmm (191)" e_form_mev_per_atom=-675.1 pbc="T T T"
Y 0.000 0.000 0.000
Be 0.000 3.129 0.000
Be 2.710 1.565 0.000
Ir -1.355 2.347 1.734
Ir 2.710 0.000 1.734
Ir 1.355 2.347 1.734

7
Lattice="2.298 1.327 7.597 -2.298 1.327 7.597 0.000 -2.654 7.597" Properties=species:S:1:pos:R:3 comment="Sm2MgRh4, relaxed, DFT GGA-PBE" total_magnetization_mub_per_fu=0.00 volume_a3_per_cell=139 space_group="R-3m (166)" e_form_mev_per_atom=-334.8 pbc="T T T"
Sm 0.000 0.000 5.543
Sm 0.000 0.000 17.247
Mg 0.000 0.000 0.000
Rh 0.000 0.000 2.734
Rh 0.000 0.000 8.468
Rh 0.000 0.000 14.323
Rh 0.000 0.000 20.056

10
Lattice="2.836 0.000 0.000 0.000 2.836 0.000 0.000 0.000 14.300" Properties=species:S:1:pos:R:3 comment="BeAl4Ni5, relaxed, DFT GGA-PBE" total_magnetization_mub_per_fu=0.00 volume_a3_per_cell=115 space_group="P4/mmm (123)" e_form_mev_per_atom=-595.0 pbc="T T T"
Be 0.000 0.000 0.000
Al 0.000 0.000 2.700
Al 0.000 0.000 5.661
Al 0.000 0.000 8.639
Al 0.000 0.000 11.600
Ni 1.418 1.418 1.236
Ni 1.418 1.418 4.169
Ni 1.418 1.418 7.150
Ni 1.418 1.418 10.131
Ni 1.418 1.418 13.064

5
Lattice="6.145 0.000 0.000 0.000 6.145 0.000 0.000 0.000 6.145" Properties=species:S:1:pos:R:3 comment="Rb3TeCl, relaxed, DFT GGA-PBE" total_magnetization_mub_per_fu=0.00 volume_a3_per_cell=232 raw_formation_energy_mev_per_atom=-1241 polymorph_energy_mev_per_atom=37.6 space_group="Pm-3m (221)" pbc="T T T"
Rb 0.000 0.000 3.072
Rb 0.000 3.072 0.000
Rb 3.072 0.000 0.000
Te 3.072 3.072 3.072
Cl 0.000 0.000 0.000

5
Lattice="4.828 0.000 0.000 0.000 4.828 0.000 0.000 0.000 4.828" Properties=species:S:1:pos:R:3 comment="HgOs3Pt, relaxed, DFT GGA-PBE" total_magnetization_mub_per_fu=5.50 volume_a3_per_cell=113 polymorph_energy_mev_per_atom=0.0 space_group="Pm-3m (221)" e_form_mev_per_atom=2524.9 pbc="T T T"
Hg 0.000 0.000 0.000
Os 0.000 2.414 2.414
Os 2.414 0.000 2.414
Os 2.414 2.414 0.000
Pt 2.414 2.414 2.414

5
Lattice="6.494 0.000 0.000 0.000 6.494 0.000 0.000 0.000 5.125" Properties=species:S:1:pos:R:3 comment="K2RbZnAu, relaxed, DFT GGA-PBE" total_magnetization_mub_per_fu=0.00 volume_a3_per_cell=216 polymorph_energy_mev_per_atom=57.1 space_group="P4/mmm (123)" e_form_mev_per_atom=-5.5 pbc="T T T"
K 0.000 3.247 0.000
K 3.247 0.000 0.000
Rb 0.000 0.000 2.563
Zn 3.247 3.247 0.000
Au 3.247 3.247 2.563

8
Lattice="-2.428 2.428 7.029 2.428 -2.428 7.029 2.428 2.428 -7.029" Properties=species:S:1:pos:R:3 comment="PmEr2Zn5, relaxed, DFT GGA-PBE" total_magnetization_mub_per_fu=0.00 volume_a3_per_cell=166 space_group="I4/mmm (139)" e_form_mev_per_atom=-311.9 pbc="T T T"
Pm 0.000 0.000 0.000
Er 0.000 0.000 3.760
Er 0.000 0.000 10.297
Zn 2.428 0.000 1.688
Zn 2.428 0.000 5.341
Zn 0.000 0.000 7.029
Zn 0.000 2.428 1.688
Zn 0.000 2.428 5.341

4
Lattice="0.000 3.781 3.781 3.781 0.000 3.781 3.781 3.781 0.000" Properties=species:S:1:pos:R:3 comment="CaLaMgGe, relaxed, DFT GGA-PBE" total_magnetization_mub_per_fu=0.00 volume_a3_per_cell=108 space_group="F-43m (216)" e_form_mev_per_atom=-362.9 pbc="T T T"
Ca 0.000 0.000 0.000
La 3.781 3.781 3.781
Mg 1.891 1.891 1.891
Ge 5.672 5.672 5.672

5
Lattice="4.090 0.000 0.000 0.000 4.090 0.000 0.000 0.000 3.878" Properties=species:S:1:pos:R:3 comment="BHIr2Pb, relaxed, DFT GGA-PBE" total_magnetization_mub_per_fu=0.00 volume_a3_per_cell=65 space_group="P4/mmm (123)" dft_energy_ev_per_cell=-26.5 pbc="T T T"
B 0.000 0.000 0.000
H 0.000 0.000 1.939
Ir 0.000 2.045 1.939
Ir 2.045 0.000 1.939
Pb 2.045 2.045 0.000

11
Lattice="5.605 -5.720 0.000 5.605 5.720 0.000 -2.463 0.000 5.530" Properties=species:S:1:pos:R:3 comment="Sm2Y2Er7, relaxed, DFT GGA-PBE" total_magnetization_mub_per_fu=0.01 volume_a3_per_cell=355 space_group="C2/m (12)" e_form_mev_per_atom=156.5 pbc="T T T"
Sm 0.284 0.000 1.699
Sm 8.463 0.000 3.831
Y 5.605 2.428 0.000
Y 5.605 -2.428 0.000
Er 2.861 2.711 1.783
Er 0.726 0.000 5.101
Er 5.886 2.711 3.747
Er 4.373 0.000 2.765
Er 2.861 -2.711 1.783
Er 8.020 0.000 0.429
Er 5.886 -2.711 3.747

4
Lattice="4.814 0.000 0.000 0.000 4.814 0.000 0.000 0.000 4.814" Properties=species:S:1:pos:R:3 comment="Li3Rh, relaxed, DFT GGA-PBE" total_magnetization_mub_per_fu=0.11 volume_a3_per_cell=112 space_group="Pm-3m (221)" e_form_mev_per_atom=440.6 pbc="T T T"
Li 0.000 0.000 2.407
Li 0.000 2.407 0.000
Li 2.407 0.000 0.000
Rh 0.000 0.000 0.000